{
  "formula": "Tb3Sc4Ge4",
  "functional": "PBE",
  "state": "optimized geometry",
  "lattice_angstrom": [[-1.9882, 4.2313, 7.5644], [1.9882, -4.2313, 7.5644], [1.9882, 4.2313, -7.5644]],
  "species": ["Tb", "Tb", "Tb", "Sc", "Sc", "Sc", "Sc", "Ge", "Ge", "Ge", "Ge"],
  "frac_coords": [[0.0000, 0.0000, 0.0000], [0.3904, 0.8904, 0.5000], [0.6096, 0.1096, 0.5000], [0.0199, 0.3268, 0.6931], [0.3663, 0.6732, 0.6931], [0.6337, 0.3268, 0.3069], [0.9801, 0.6732, 0.3069], [0.2410, 0.2410, 0.0000], [0.2826, 0.5000, 0.7826], [0.7174, 0.5000, 0.2174], [0.7590, 0.7590, 0.0000]],
  "volume_a3_per_atom": 23.14,
  "spacegroup": "Immm",
  "e_form_ev_per_atom": -0.699,
  "mass_density_g_cm3": 6.2,
  "n_ef_per_ev_cell": 10.2
}

***

{
  "formula": "ScTcGe2",
  "functional": "PBE",
  "state": "optimized geometry",
  "lattice_angstrom": [[-1.9401, 1.9401, 9.4859], [1.9401, -1.9401, 9.4859], [1.9401, 1.9401, -9.4859]],
  "species": ["Sc", "Sc", "Tc", "Tc", "Ge", "Ge", "Ge", "Ge"],
  "frac_coords": [[0.0000, 0.0000, 0.0000], [0.7500, 0.2500, 0.5000], [0.2500, 0.7500, 0.5000], [0.5000, 0.5000, 0.0000], [0.1308, 0.6250, 0.0058], [0.3750, 0.3808, 0.5058], [0.6192, 0.1250, 0.9942], [0.8750, 0.8692, 0.4942]],
  "volume_a3_per_atom": 17.85,
  "spacegroup": "I-42d",
  "e_form_ev_per_atom": 0.014,
  "mass_density_g_cm3": 6.7,
  "e_above_lowest_polymorph_mev_per_atom": 597,
  "n_ef_per_ev_cell": 2.9
}

***

{
  "formula": "Sc2TcGe2",
  "functional": "PBE",
  "state": "optimized geometry",
  "lattice_angstrom": [[-2.0618, 2.7101, 4.0486], [2.0618, -2.7101, 4.0486], [2.0618, 2.7101, -4.0486]],
  "species": ["Sc", "Sc", "Tc", "Ge", "Ge"],
  "frac_coords": [[0.2033, 0.2033, 0.0000], [0.7967, 0.7967, 0.0000], [0.5000, 0.0000, 0.5000], [0.2313, 0.5000, 0.7313], [0.7687, 0.5000, 0.2687]],
  "volume_a3_per_atom": 18.10,
  "spacegroup": "Immm",
  "e_form_ev_per_atom": -0.629,
  "mass_density_g_cm3": 6.1,
  "e_above_lowest_polymorph_mev_per_atom": 86,
  "n_ef_per_ev_cell": 2.4
}

***

{
  "formula": "Sc4TcGe3",
  "functional": "PBE",
  "state": "optimized geometry",
  "lattice_angstrom": [[-5.2539, 5.2539, 2.6365], [5.2539, -5.2539, 2.6365], [5.2539, 5.2539, -2.6365]],
  "species": ["Sc", "Sc", "Sc", "Sc", "Sc", "Sc", "Sc", "Sc", "Tc", "Tc", "Ge", "Ge", "Ge", "Ge", "Ge", "Ge"],
  "frac_coords": [[0.0807, 0.7769, 0.8576], [0.2231, 0.0807, 0.3038], [0.2769, 0.5807, 0.8576], [0.4193, 0.2769, 0.6962], [0.5807, 0.7231, 0.3038], [0.7231, 0.4193, 0.1424], [0.7769, 0.9193, 0.6962], [0.9193, 0.2231, 0.1424], [0.2500, 0.7500, 0.5000], [0.7500, 0.2500, 0.5000], [0.1543, 0.3457, 0.5000], [0.2500, 0.2500, 0.0000], [0.3457, 0.8457, 0.1915], [0.6543, 0.1543, 0.8085], [0.7500, 0.7500, 0.0000], [0.8457, 0.6543, 0.5000]],
  "volume_a3_per_atom": 18.19,
  "spacegroup": "I4/mcm",
  "e_form_ev_per_atom": -0.739,
  "mass_density_g_cm3": 5.7,
  "n_ef_per_ev_cell": 11.8
}

***

{
  "formula": "Sc2TcGe",
  "functional": "PBE",
  "state": "optimized geometry",
  "lattice_angstrom": [[3.4121, 0.0000, 0.0000], [0.0000, 3.4121, 0.0000], [0.0000, 0.0000, 6.1007]],
  "species": ["Sc", "Sc", "Tc", "Ge"],
  "frac_coords": [[0.0000, 0.0000, 0.2401], [0.0000, 0.0000, 0.7599], [0.5000, 0.5000, 0.0000], [0.5000, 0.5000, 0.5000]],
  "volume_a3_per_atom": 17.76,
  "spacegroup": "P4/mmm",
  "e_form_ev_per_atom": -0.519,
  "mass_density_g_cm3": 6.1,
  "n_ef_per_ev_cell": 2.0
}

***

{
  "formula": "Sc4Tc7Ge6",
  "functional": "PBE",
  "state": "optimized geometry",
  "lattice_angstrom": [[-4.1197, 4.1197, 4.1197], [4.1197, -4.1197, 4.1197], [4.1197, 4.1197, -4.1197]],
  "species": ["Sc", "Sc", "Sc", "Sc", "Tc", "Tc", "Tc", "Tc", "Tc", "Tc", "Tc", "Ge", "Ge", "Ge", "Ge", "Ge", "Ge"],
  "frac_coords": [[0.0000, 0.0000, 0.5000], [0.0000, 0.5000, 0.0000], [0.5000, 0.0000, 0.0000], [0.5000, 0.5000, 0.5000], [0.0000, 0.0000, 0.0000], [0.2500, 0.5000, 0.7500], [0.2500, 0.7500, 0.5000], [0.5000, 0.2500, 0.7500], [0.5000, 0.7500, 0.2500], [0.7500, 0.2500, 0.5000], [0.7500, 0.5000, 0.2500], [0.0000, 0.3063, 0.3063], [0.0000, 0.6937, 0.6937], [0.3063, 0.0000, 0.3063], [0.3063, 0.3063, 0.0000], [0.6937, 0.0000, 0.6937], [0.6937, 0.6937, 0.0000]],
  "volume_a3_per_atom": 16.45,
  "spacegroup": "Im-3m",
  "e_form_ev_per_atom": -0.421,
  "mass_density_g_cm3": 7.7,
  "n_ef_per_ev_cell": 15.7
}

***

{
  "formula": "ScTcGe",
  "functional": "PBE",
  "state": "optimized geometry",
  "lattice_angstrom": [[-1.6586, 1.6586, 4.5404], [1.6586, -1.6586, 4.5404], [1.6586, 1.6586, -4.5404]],
  "species": ["Sc", "Tc", "Ge"],
  "frac_coords": [[0.0000, 0.0000, 0.0000], [0.3185, 0.3185, 0.0000], [0.6879, 0.6879, 0.0000]],
  "volume_a3_per_atom": 16.65,
  "spacegroup": "I4mm",
  "e_form_ev_per_atom": -0.509,
  "mass_density_g_cm3": 7.2,
  "e_above_lowest_polymorph_mev_per_atom": 104,
  "n_ef_per_ev_cell": 0.5
}

***

{
  "formula": "ScTcGe",
  "functional": "PBE",
  "state": "optimized geometry",
  "lattice_angstrom": [[7.0851, 0.0000, 0.0000], [-3.5425, 6.1359, 0.0000], [0.0000, 0.0000, 3.4632]],
  "species": ["Sc", "Sc", "Sc", "Tc", "Tc", "Tc", "Ge", "Ge", "Ge"],
  "frac_coords": [[0.0000, 0.3888, 0.0000], [0.3888, 0.0000, 0.0000], [0.6112, 0.6112, 0.0000], [0.0000, 0.7381, 0.5000], [0.2619, 0.2619, 0.5000], [0.7381, 0.0000, 0.5000], [0.0000, 0.0000, 0.0000], [0.3333, 0.6667, 0.5000], [0.6667, 0.3333, 0.5000]],
  "volume_a3_per_atom": 16.73,
  "spacegroup": "P-62m",
  "e_form_ev_per_atom": -0.613,
  "mass_density_g_cm3": 7.1,
  "e_above_lowest_polymorph_mev_per_atom": 0,
  "n_ef_per_ev_cell": 9.4
}